First-principles (PBE) data for a relaxed structure of LaCr3, as listed in Alexandria via LeMat-Bulk.

Cell lengths 4.733, 4.733, 4.733 Å; angles 60.00, 60.00, 60.00 degrees
Each line ends with the local moment (μB).
Fractional positions:
Cr (0.000, 0.000, 0.000)  -2.88
Cr (0.500, 0.500, 0.500)  -2.88
Cr (0.750, 0.750, 0.750)  3.25
La (0.250, 0.250, 0.250)  -0.11

Results
N(E_F) in states/eV per atom: 0.951
Calculated formation energy in eV/atom: 0.64
Energy in Ry/atom: -0.574